# 1
Below is an optimized crystal structure of USbAs, with properties calculated at the PBE level.

Structure (POSCAR):
```
USbAs
1.0
4.199 0.000 0.000
0.000 4.199 0.000
-2.099 -2.099 8.166
U Sb As
2 2 2
Direct
0.379 0.379 0.758 U
0.621 0.621 0.242 U
0.181 0.181 0.362 Sb
0.819 0.819 0.638 Sb
0.000 0.500 0.000 As
0.500 0.000 0.000 As
```

## Properties
Uncorrected formation energy   -0.4068 eV/atom
M_tot   0.426 μB per atom
Space-group type   I4/mmm
Relative energy among the computed polymorphs   2.34 kcal/mol of atoms

***

# 2
Below is an optimized crystal structure of InRe2BiSb, with properties calculated at the PBE level.

Structure (POSCAR):
```
InRe2BiSb
1.0
5.013 0.000 0.000
0.000 5.851 0.000
0.000 0.000 5.013
Re In Bi Sb
2 1 1 1
Direct
0.000 0.000 0.500 Re
0.500 0.000 0.000 Re
0.500 0.500 0.500 In
0.000 0.500 0.000 Bi
0.000 0.000 0.000 Sb
```

## Properties
Uncorrected formation energy   2.0125 eV/atom
M_tot   0.927 μB per atom
Space-group type   P4/mmm
Relative energy among the computed polymorphs   1.99 kcal/mol of atoms

***

# 3
Below is an optimized crystal structure of TbErZr, with properties calculated at the PBE level.

Structure (POSCAR):
```
TbErZr
1.0
4.659 0.000 0.000
0.000 4.659 0.000
0.000 0.000 8.221
Zr Tb Er
2 2 2
Direct
0.000 0.000 0.000 Zr
0.500 0.500 0.000 Zr
0.000 0.500 0.710 Tb
0.500 0.000 0.290 Tb
0.000 0.500 0.284 Er
0.500 0.000 0.716 Er
```

## Properties
Energy of formation from the pure elements   196.0 meV/atom
M_tot   0.001 μB per atom
Space-group type   P4/nmm
Relative energy among the computed polymorphs   2.79 kcal/mol of atoms

***

# 4
Below is an optimized crystal structure of Pm3Nd2Sm6Al, with properties calculated at the PBE level.

Structure (POSCAR):
```
Pm3Nd2Sm6Al
1.0
-2.457 -0.579 5.666
-1.188 -4.250 -4.359
10.572 -4.485 2.981
Pm Nd Sm Al
3 2 6 1
Direct
0.168 0.832 0.500 Pm
0.832 0.168 0.500 Pm
0.500 0.500 0.500 Pm
0.334 0.666 0.000 Nd
0.666 0.334 0.000 Nd
0.919 0.597 0.756 Sm
0.759 0.759 0.246 Sm
0.081 0.403 0.244 Sm
0.597 0.919 0.756 Sm
0.241 0.241 0.754 Sm
0.403 0.081 0.244 Sm
0.000 0.000 0.000 Al
```

## Properties
Energy of formation from the pure elements   -9.2 meV/atom
M_tot   0.000 μB per atom
Space-group type   C2/m